# NbCuO2F | Alexandria | GGA-PBE | relaxed
data_NbCuO2F
_space_group_name_H-M_alt 'P 4/m m m'
_space_group_IT_number 123
_space_group_name_Hall '-P 4 2'
_cell_length_a 3.9842
_cell_length_b 3.9842
_cell_length_c 4.1963
_cell_angle_alpha 90.00
_cell_angle_beta 90.00
_cell_angle_gamma 90.00
loop_
_atom_site_label
_atom_site_type_symbol
_atom_site_fract_x
_atom_site_fract_y
_atom_site_fract_z
Nb1 Nb 0.0000 0.0000 0.0000
Cu1 Cu 0.5000 0.5000 0.5000
O1 O 0.0000 0.5000 0.0000
F1 F 0.0000 0.0000 0.5000
# Formation energy without anion corrections (eV/atom): -1.56
# M_tot (μB per atom): 0.0640
# Total DFT energy (no corrections) (eV per atom): -6.75